A plane-wave DFT calculation with PBE-GGA was carried out for a relaxed structure of MnAl2Rh. Values from VASP.

Summary:
As for the symmetry: No. 25.

Quantum ESPRESSO input file:
```
&SYSTEM
  ibrav = 0, nat = 4, ntyp = 3
/
ATOMIC_SPECIES
Mn 54.94 Mn.upf
Al 26.98 Al.upf
Rh 102.91 Rh.upf
ATOMIC_POSITIONS angstrom
Mn 0.000 0.000 0.000
Al 0.000 0.000 2.645
Al 1.428 1.831 4.181
Rh 1.428 1.831 1.514
CELL_PARAMETERS angstrom
2.856 0.000 0.000
0.000 3.661 0.000
0.000 0.000 5.359
```

---

A plane-wave DFT calculation with PBE-GGA was carried out for a relaxed structure of LiReBr2. Values from VASP.

Summary:
As for the symmetry: No. 166. The energy above the lowest structure with this stoichiometry is 0.00 eV/f.u.

Quantum ESPRESSO input file:
```
&SYSTEM
  ibrav = 0, nat = 4, ntyp = 3
/
ATOMIC_SPECIES
Li 6.94 Li.upf
Re 186.21 Re.upf
Br 79.90 Br.upf
ATOMIC_POSITIONS angstrom
Li 0.000 0.000 0.000
Re 0.000 0.000 12.424
Br 0.000 0.000 9.982
Br 0.000 0.000 14.866
CELL_PARAMETERS angstrom
1.613 0.931 8.283
-1.613 0.931 8.283
0.000 -1.863 8.283
```

---

A plane-wave DFT calculation with PBE-GGA was carried out for a relaxed structure of In9Hg4Bi3. Values from VASP.

Summary:
As for the symmetry: No. 146.

Quantum ESPRESSO input file:
```
&SYSTEM
  ibrav = 0, nat = 16, ntyp = 3
/
ATOMIC_SPECIES
In 114.82 In.upf
Hg 200.59 Hg.upf
Bi 208.98 Bi.upf
ATOMIC_POSITIONS angstrom
In -0.985 -1.585 16.564
In -1.973 -0.025 22.501
In -1.966 -0.019 27.741
In -0.881 1.645 16.564
In 1.009 -1.696 22.501
In 0.999 -1.693 27.741
In 1.865 -0.060 16.564
In 0.965 1.722 22.501
In 0.967 1.712 27.741
Hg 0.000 0.000 2.605
Hg 0.000 0.000 8.552
Hg 0.000 0.000 25.128
Hg 0.000 0.000 30.334
Bi 0.000 0.000 19.796
Bi 0.000 0.000 36.158
Bi 0.000 0.000 47.090
CELL_PARAMETERS angstrom
2.886 1.666 16.564
-2.886 1.666 16.564
0.000 -3.333 16.564
```

---

A plane-wave DFT calculation with PBE-GGA was carried out for a relaxed structure of InCoPb. Values from VASP.

Summary:
As for the symmetry: No. 12. The energy above the lowest structure with this stoichiometry is 0.00 eV/f.u.

Quantum ESPRESSO input file:
```
&SYSTEM
  ibrav = 0, nat = 6, ntyp = 3
/
ATOMIC_SPECIES
In 114.82 In.upf
Co 58.93 Co.upf
Pb 207.20 Pb.upf
ATOMIC_POSITIONS angstrom
In -0.002 0.000 1.539
In 3.177 0.000 4.779
Co 1.588 1.589 0.000
Co 1.588 -1.589 0.000
Pb 0.003 0.000 4.594
Pb 3.172 0.000 1.724
CELL_PARAMETERS angstrom
3.176 -3.179 0.000
3.176 3.179 0.000
-3.177 0.000 6.318
```

---

A plane-wave DFT calculation with PBE-GGA was carried out for a relaxed structure of Sr3Al2Hg4. Values from VASP.

Summary:
As for the symmetry: No. 12.

Quantum ESPRESSO input file:
```
&SYSTEM
  ibrav = 0, nat = 9, ntyp = 3
/
ATOMIC_SPECIES
Sr 87.62 Sr.upf
Al 26.98 Al.upf
Hg 200.59 Hg.upf
ATOMIC_POSITIONS angstrom
Sr 0.000 0.000 0.000
Sr 3.240 0.000 2.749
Sr 5.233 0.000 5.993
Al 1.789 0.000 5.888
Al 6.683 0.000 2.854
Hg -0.264 0.000 3.613
Hg 0.220 0.000 8.112
Hg 8.252 0.000 0.630
Hg 8.737 0.000 5.130
CELL_PARAMETERS angstrom
5.929 -2.434 0.000
5.929 2.434 0.000
-3.386 0.000 8.743
```

---

A plane-wave DFT calculation with PBE-GGA was carried out for a relaxed structure of CsMgTl6. Values from VASP.

Summary:
As for the symmetry: No. 166. The energy above the lowest structure with this stoichiometry is 0.00 eV/f.u.

Quantum ESPRESSO input file:
```
&SYSTEM
  ibrav = 0, nat = 8, ntyp = 3
/
ATOMIC_SPECIES
Cs 132.91 Cs.upf
Mg 24.30 Mg.upf
Tl 204.38 Tl.upf
ATOMIC_POSITIONS angstrom
Cs 0.000 0.000 0.000
Mg 0.000 0.000 16.486
Tl 0.000 0.000 4.494
Tl 0.000 0.000 7.900
Tl 0.000 0.000 13.410
Tl 0.000 0.000 19.562
Tl 0.000 0.000 25.073
Tl 0.000 0.000 28.479
CELL_PARAMETERS angstrom
2.706 1.562 10.991
-2.706 1.562 10.991
0.000 -3.124 10.991
```

---

A plane-wave DFT calculation with PBE-GGA was carried out for a relaxed structure of Pt2PbBr. Values from VASP.

Summary:
As for the symmetry: No. 139. The energy above the lowest structure with this stoichiometry is 0.81 eV/f.u.

Quantum ESPRESSO input file:
```
&SYSTEM
  ibrav = 0, nat = 4, ntyp = 3
/
ATOMIC_SPECIES
Pt 195.08 Pt.upf
Pb 207.20 Pb.upf
Br 79.90 Br.upf
ATOMIC_POSITIONS angstrom
Pt 2.768 0.000 0.000
Pt 0.000 2.768 0.000
Pb 0.000 0.000 0.000
Br 0.000 0.000 2.916
CELL_PARAMETERS angstrom
-2.768 2.768 2.916
2.768 -2.768 2.916
2.768 2.768 -2.916
```

---

A plane-wave DFT calculation with PBE-GGA was carried out for a relaxed structure of AcHo2Sn. Values from VASP.

Summary:
As for the symmetry: No. 123. The energy above the lowest structure with this stoichiometry is 0.16 eV/f.u.

Quantum ESPRESSO input file:
```
&SYSTEM
  ibrav = 0, nat = 4, ntyp = 3
/
ATOMIC_SPECIES
Ac 227.00 Ac.upf
Ho 164.93 Ho.upf
Sn 118.71 Sn.upf
ATOMIC_POSITIONS angstrom
Ac 0.000 0.000 0.000
Ho 1.929 1.929 2.541
Ho 1.929 1.929 6.027
Sn 0.000 0.000 4.284
CELL_PARAMETERS angstrom
3.859 0.000 0.000
0.000 3.859 0.000
0.000 0.000 8.568
```

---

no.,DFT total energy (Ry per atom)
1,-0.4727
2,-0.3152
3,-0.1677
4,-0.3173
5,-0.1428
6,-0.1557
7,-0.3042
8,-0.3381